(1)
The following is a DFT calculation (PBE) of a relaxed La3Nd2Ho5 crystal.

Lattice parameters (Å, degrees): 9.9923 9.9923 9.2181 108.02 108.02 115.36
With the nearest neighbours (Å) after each atom.
Sites, in units of the cell vectors:
1 La 0.0220 0.2721 0.0472  1 Nd 3.11, 4 Ho 3.38-3.48
2 La 0.2315 0.7685 0.7500  4 Nd 3.34-3.64, 1 Ho 3.47, 2 La 3.55
3 La 0.2721 0.0220 0.5472  1 Nd 3.11, 4 Ho 3.38-3.48
4 La 0.7279 0.9780 0.4528  1 Nd 3.11, 4 Ho 3.38-3.48
5 La 0.7685 0.2315 0.2500  4 Nd 3.34-3.64, 1 Ho 3.47, 2 La 3.55
6 La 0.9780 0.7279 0.9528  1 Nd 3.11, 4 Ho 3.38-3.48
7 Nd 0.2353 0.4728 0.4605  2 La 3.11-3.34, 4 Ho 3.33-3.47
8 Nd 0.4728 0.2353 0.9605  2 La 3.11-3.34, 4 Ho 3.33-3.47
9 Nd 0.5272 0.7647 0.0395  2 La 3.11-3.34, 4 Ho 3.33-3.47
10 Nd 0.7647 0.5272 0.5395  2 La 3.11-3.34, 4 Ho 3.33-3.47
11 Ho 0.0263 0.9737 0.7500  5 La 3.40-3.48, 2 Nd 3.47, 2 Ho 3.55
12 Ho 0.1420 0.3683 0.7623  2 Nd 3.41-3.50, 3 La 3.43-3.75, 2 Ho 3.55-3.61
13 Ho 0.2755 0.7245 0.2500  1 Ho 3.28, 4 La 3.38-3.52, 2 Nd 3.59
14 Ho 0.3683 0.1420 0.2623  2 Nd 3.41-3.50, 3 La 3.43-3.75, 2 Ho 3.55-3.61
15 Ho 0.4698 0.5302 0.2500  3 Ho 3.28-3.61, 4 Nd 3.33-3.45, 2 La 3.48
16 Ho 0.5302 0.4698 0.7500  3 Ho 3.28-3.61, 4 Nd 3.33-3.45, 2 La 3.48
17 Ho 0.6317 0.8580 0.7377  2 Nd 3.41-3.50, 3 La 3.43-3.75, 2 Ho 3.55-3.61
18 Ho 0.7245 0.2755 0.7500  1 Ho 3.28, 4 La 3.38-3.52, 2 Nd 3.59
19 Ho 0.8580 0.6317 0.2377  2 Nd 3.41-3.50, 3 La 3.43-3.75, 2 Ho 3.55-3.61
20 Ho 0.9737 0.0263 0.2500  5 La 3.40-3.48, 2 Nd 3.47, 2 Ho 3.55

Calculated values
As for the density: 7.5 g/cm3. The total energy is -4.549 eV/atom.

(2)
The following is a DFT calculation (PBE) of a relaxed LaNd3Ho4 crystal.

Lattice parameters (Å, degrees): 11.6104 7.3392 6.3205 90.00 90.00 90.00
With the nearest neighbours (Å) after each atom.
Sites, in units of the cell vectors:
1 La 0.0000 0.1260 0.0000  6 Nd 3.59-3.68, 6 Ho 3.61-3.71
2 La 0.5000 0.8740 0.5000  6 Nd 3.59-3.68, 6 Ho 3.61-3.71
3 Nd 0.0000 0.8714 0.5014  6 Ho 3.59-3.74, 4 Nd 3.60-3.61, 2 La 3.66-3.68
4 Nd 0.2494 0.1294 0.3370  6 Ho 3.59-3.73, 2 La 3.59-3.61, 4 Nd 3.60-3.69
5 Nd 0.2506 0.8706 0.8370  6 Ho 3.59-3.73, 2 La 3.59-3.61, 4 Nd 3.60-3.69
6 Nd 0.5000 0.1286 0.0014  6 Ho 3.59-3.74, 4 Nd 3.60-3.61, 2 La 3.66-3.68
7 Nd 0.7494 0.8706 0.8370  6 Ho 3.59-3.73, 2 La 3.59-3.61, 4 Nd 3.60-3.69
8 Nd 0.7506 0.1294 0.3370  6 Ho 3.59-3.73, 2 La 3.59-3.61, 4 Nd 3.60-3.69
9 Ho 0.0000 0.3807 0.5021  6 Ho 3.55-3.62, 4 Nd 3.59-3.74, 2 La 3.66-3.68
10 Ho 0.0000 0.6207 0.0027  6 Ho 3.57-3.62, 4 Nd 3.60-3.66, 2 La 3.63-3.71
11 Ho 0.2493 0.6208 0.3352  6 Ho 3.55-3.62, 5 Nd 3.59-3.73, 1 La 3.61
12 Ho 0.2507 0.3792 0.8352  6 Ho 3.55-3.62, 5 Nd 3.59-3.73, 1 La 3.61
13 Ho 0.5000 0.3793 0.5027  6 Ho 3.57-3.62, 4 Nd 3.60-3.66, 2 La 3.63-3.71
14 Ho 0.5000 0.6193 0.0021  6 Ho 3.55-3.62, 4 Nd 3.59-3.74, 2 La 3.66-3.68
15 Ho 0.7493 0.3792 0.8352  6 Ho 3.55-3.62, 5 Nd 3.59-3.73, 1 La 3.61
16 Ho 0.7507 0.6208 0.3352  6 Ho 3.55-3.62, 5 Nd 3.59-3.73, 1 La 3.61

Calculated values
As for the density: 7.6 g/cm3. The total energy is -4.662 eV/atom.